A geometry-optimized TiGaTeN2 structure. Source: Alexandria via LeMat-Bulk, functional GGA-PBE.

Cell: 3.8877 3.8877 5.6483 Å, 90.00 90.00 90.00°
Space group P4/mmm (No. 123)
Asymmetric unit:
Ti 0.0000 0.0000 0.0000 [1 per cell]
Ga 0.5000 0.5000 0.5000 [1 per cell]
Te 0.5000 0.5000 0.0000 [1 per cell]
N 0.0000 0.5000 0.5000 [2 per cell]

## Properties
Polymorph energy (0 for the lowest one)   814 meV/atom
Formation energy from raw total energies   1080 meV/atom

A geometry-optimized Mg4Tc2O9 structure. Source: Alexandria via LeMat-Bulk, functional GGA-PBE.

Cell: 5.1636 5.1636 14.1322 Å, 90.00 90.00 120.00°
Space group P-3c1 (No. 165)
Asymmetric unit:
Mg 0.3333 0.6667 0.1872 [4 per cell]
Mg 0.3333 0.6667 0.4811 [4 per cell]
Tc 0.0000 0.0000 0.1468 [4 per cell]
O 0.0000 0.2897 0.2500 [6 per cell]
O 0.0292 0.3425 0.5844 [12 per cell]

## Properties
Formation energy from raw total energies   -2038 meV/atom

A geometry-optimized Mg3GaSb structure. Source: Alexandria via LeMat-Bulk, functional GGA-PBE.

Cell: 5.8557 4.7133 9.1131 Å, 90.00 90.01 90.00°
Space group P2/m (No. 10)
Asymmetric unit:
Mg 0.0000 0.0000 0.0000 [1 per cell]
Mg 0.2490 0.5000 0.7921 [2 per cell]
Mg 0.2503 0.0000 0.3105 [2 per cell]
Mg 0.5000 0.0000 0.0000 [1 per cell]
Ga 0.2507 0.5000 0.1028 [2 per cell]
Sb 0.2498 0.0000 0.6329 [2 per cell]

## Properties
Polymorph energy (0 for the lowest one)   0 meV/atom
Formation energy from raw total energies   -140 meV/atom

A geometry-optimized Ti3FeCo structure. Source: Alexandria via LeMat-Bulk, functional GGA-PBE.

Cell: 4.3976 4.3976 4.3976 Å, 90.00 90.00 90.00°
Space group Pm-3m (No. 221)
Asymmetric unit:
Ti 0.0000 0.0000 0.5000 [3 per cell]
Fe 0.0000 0.0000 0.0000 [1 per cell]
Co 0.5000 0.5000 0.5000 [1 per cell]

## Properties
Polymorph energy (0 for the lowest one)   0 meV/atom
Formation enthalpy at 0 K   0.54 eV per atom

A geometry-optimized Ho12Ir2Au5 structure. Source: Alexandria via LeMat-Bulk, functional GGA-PBE.

Cell: 16.1893 7.4980 9.1385 Å, 90.00 105.03 90.00°
Space group C2/m (No. 12)
Asymmetric unit:
Ho 0.0012 0.0000 0.2478 [4 per cell]
Ho 0.0213 0.5000 0.8214 [4 per cell]
Ho 0.1442 0.2511 0.5628 [8 per cell]
Ho 0.1721 0.2358 0.1027 [8 per cell]
Ir 0.0000 0.2142 0.0000 [4 per cell]
Au 0.0000 0.5000 0.5000 [2 per cell]
Au 0.1883 0.0000 0.8376 [4 per cell]
Au 0.2077 0.0000 0.3671 [4 per cell]

## Properties
Formation enthalpy at 0 K   -0.58 eV per atom

A geometry-optimized NaZnF2 structure. Source: Alexandria via LeMat-Bulk, functional GGA-PBE.

Cell: 5.2501 5.2501 9.7984 Å, 90.00 90.00 90.00°
Space group I-42d (No. 122)
Asymmetric unit:
Na 0.0000 0.0000 0.0000 [4 per cell]
Zn 0.0000 0.0000 0.5000 [4 per cell]
F 0.2352 0.2500 0.6250 [8 per cell]

## Properties
Polymorph energy (0 for the lowest one)   70 meV/atom
Formation energy from raw total energies   -1910 meV/atom

A geometry-optimized AcPbAuO5 structure. Source: Alexandria via LeMat-Bulk, functional GGA-PBE.

Cell: 8.4400 10.4803 6.5764 Å, 90.00 123.12 90.00°
Space group C2/c (No. 15)
Asymmetric unit:
Ac 0.0000 0.1059 0.2500 [4 per cell]
Pb 0.2500 0.2500 0.0000 [4 per cell]
Au 0.0000 0.4430 0.2500 [4 per cell]
O 0.0000 0.1438 0.7500 [4 per cell]
O 0.1768 0.3039 0.2756 [8 per cell]
O 0.2120 0.4345 0.8132 [8 per cell]

## Properties
Formation energy from raw total energies   -1370 meV/atom

A geometry-optimized K2NdNp3O12 structure. Source: Alexandria via LeMat-Bulk, functional GGA-PBE.

Cell: 8.0781 8.0781 18.9530 Å, 90.00 90.00 120.00°
Space group R-3m (No. 166, hexagonal axes)
Asymmetric unit:
K 0.0000 0.0000 0.1687 [6 per cell]
Nd 0.0000 0.0000 0.5000 [3 per cell]
Np 0.0000 0.5000 0.0000 [9 per cell]
O 0.0421 0.5210 0.1018 [18 per cell]
O 0.0890 0.5445 0.3470 [18 per cell]

## Properties
Formation energy from raw total energies   -2698 meV/atom

A geometry-optimized PbSIN2 structure. Source: Alexandria via LeMat-Bulk, functional GGA-PBE.

Cell: 4.1568 4.1568 5.3884 Å, 90.00 90.00 90.00°
Space group P4/mmm (No. 123)
Asymmetric unit:
Pb 0.0000 0.0000 0.0000 [1 per cell]
S 0.5000 0.5000 0.0000 [1 per cell]
I 0.5000 0.5000 0.5000 [1 per cell]
N 0.0000 0.5000 0.5000 [2 per cell]

## Properties
Polymorph energy (0 for the lowest one)   0 meV/atom
Formation energy from raw total energies   1435 meV/atom

A geometry-optimized Sr3PaIn2O9 structure. Source: Alexandria via LeMat-Bulk, functional GGA-PBE.

Cell: 6.0037 6.0037 7.5397 Å, 90.00 90.00 120.00°
Space group P-3m1 (No. 164)
Asymmetric unit:
Sr 0.0000 0.0000 0.0000 [1 per cell]
Sr 0.3333 0.6667 0.7344 [2 per cell]
Pa 0.0000 0.0000 0.5000 [1 per cell]
In 0.3333 0.6667 0.1700 [2 per cell]
O 0.0000 0.5000 0.0000 [3 per cell]
O 0.1614 0.3229 0.3239 [6 per cell]

## Properties
Formation energy from raw total energies   -2440 meV/atom

A geometry-optimized MnPb2W structure. Source: Alexandria via LeMat-Bulk, functional GGA-PBE.

Cell: 6.7284 6.7284 6.7284 Å, 90.00 90.00 90.00°
Space group Fm-3m (No. 225)
Asymmetric unit:
Mn 0.0000 0.0000 0.0000 [4 per cell]
Pb 0.2500 0.2500 0.2500 [8 per cell]
W 0.0000 0.0000 0.5000 [4 per cell]

## Properties
Polymorph energy (0 for the lowest one)   797 meV/atom
Formation enthalpy at 0 K   1.23 eV per atom

A geometry-optimized Tb7Sm12Mg structure. Source: Alexandria via LeMat-Bulk, functional GGA-PBE.

Cell: 11.4532 11.4532 11.4532 Å, 90.00 90.00 90.00°
Space group Im-3m (No. 229)
Asymmetric unit:
Tb 0.0000 0.0000 0.5000 [6 per cell]
Tb 0.2500 0.2500 0.2500 [8 per cell]
Sm 0.0000 0.2459 0.2459 [24 per cell]
Mg 0.0000 0.0000 0.0000 [2 per cell]

## Properties
Polymorph energy (0 for the lowest one)   526 meV/atom
Formation enthalpy at 0 K   0.67 eV per atom